(1)
TbPm2Mg, relaxed, DFT PBE-GGA; excess energy over the best structure of this formula in the dataset = 0.00 eV/f.u.; total DFT energy (no corrections) = -3.96 eV per atom; calculated volume = 124 Å³/cell; mass density = 6.31 g/cm3; DFT formation energy = -0.77 kcal/mol of atoms
1.0
3.711 0.000 0.000
0.000 3.711 0.000
0.000 0.000 9.039
Mg Tb Pm
1 1 2
Direct
0.500 0.500 0.000
0.500 0.500 0.500
0.000 0.000 0.771
0.000 0.000 0.229

(2)
Tb5Pm4Mg, relaxed, DFT PBE-GGA; excess energy over the best structure of this formula in the dataset = 0.00 eV/f.u.; total DFT energy (no corrections) = -4.28 eV per atom; calculated volume = 321 Å³/cell; mass density = 7.23 g/cm3; DFT formation energy = 2.17 kcal/mol of atoms
1.0
-1.676 2.749 -2.630
-3.049 -2.689 -0.868
-10.179 7.064 13.866
Tb Pm Mg
5 4 1
Direct
0.500 0.500 0.093
0.500 0.500 0.297
0.500 0.500 0.500
0.500 0.500 0.703
0.500 0.500 0.907
0.000 0.000 0.201
0.000 0.000 0.399
0.000 0.000 0.601
0.000 0.000 0.799
0.000 0.000 0.000